A relaxed BaVRu3 crystal. Source: Alexandria, functional PBE.

Lattice parameters (Å, degrees): 4.965 4.965 4.965 90.00 90.00 90.00
Sites, in units of the cell vectors:
Ba 0.000 0.000 0.000
V 0.500 0.500 0.500
Ru 0.000 0.000 0.500
Ru 0.000 0.500 0.000
Ru 0.500 0.000 0.000

E_form = 13.6 eV/f.u.
total energy = -5.054 eV/atom
N(E_F) = 1.684 states/eV/atom